[1]
## Tb2Pr6Sm5 (PBE)

Data for a relaxed structure of Tb2Pr6Sm5.

Output
For the total magnetic moment, the calculation gives 0.00 Bohr magnetons per cell. The calculation puts the electronic total energy at -4.639 eV per atom. For the density of states at the Fermi level, the calculation gives 30.764 states/eV/cell. Its formation enthalpy at 0 K is 94 meV per atom.

extended XYZ file:
```
26
Lattice="-0.735 -3.430 -1.072 8.566 -4.070 7.149 -13.915 -1.894 15.593" Properties=species:S:1:pos:R:3 pbc="T T T"
Sm -7.325 -2.662 7.260
Sm -3.329 -6.888 18.041
Sm 5.730 -5.085 6.066
Sm -2.121 -5.607 13.116
Sm -3.963 -3.786 8.554
Sm 0.869 -4.630 7.942
Sm -2.755 -2.506 3.629
Sm -11.814 -4.309 15.604
Sm 3.915 -3.750 3.039
Sm -6.953 -4.764 13.728
Tb 4.183 -3.784 9.237
Tb -9.532 -2.180 13.505
Tb -4.169 -4.068 15.869
Tb -1.180 -1.896 6.873
Pr -0.941 -4.933 16.423
Pr 0.522 -3.295 3.908
Pr -1.034 -3.080 10.562
Pr -7.718 -3.632 10.634
Pr -4.315 -2.883 12.180
Pr 3.145 -2.621 6.229
Pr -6.606 -6.099 17.762
Pr -4.761 -5.562 21.054
Pr -0.588 -0.402 1.688
Pr 1.634 -5.762 11.036
Pr -4.408 -1.031 6.319
Pr -8.494 -3.343 16.513
```

=====

[2]
## Tb2Pr2Sm3 (PBE)

Data for a relaxed structure of Tb2Pr2Sm3.

Output
For the total magnetic moment, the calculation gives 0.00 Bohr magnetons per cell. The calculation puts the electronic total energy at -4.697 eV per atom. For the density of states at the Fermi level, the calculation gives 9.296 states/eV/cell. Its formation enthalpy at 0 K is 14 meV per atom. Its excess energy over the best structure of this formula in the dataset is 0.0 meV/atom.

extended XYZ file:
```
7
Lattice="3.614 -0.039 0.441 0.071 10.897 0.431 1.060 -0.842 6.122" Properties=species:S:1:pos:R:3 pbc="T T T"
Sm 3.438 5.936 2.366
Sm 1.307 4.080 4.629
Sm 0.000 0.000 0.000
Tb 1.720 3.001 1.173
Tb 3.025 7.015 5.821
Pr 3.200 1.072 3.867
Pr 1.544 8.944 3.127
```

=====

[3]
## TbPr2Sm2 (PBE)

Data for a relaxed structure of TbPr2Sm2.

Output
For the total magnetic moment, the calculation gives 0.00 Bohr magnetons per cell. The calculation puts the electronic total energy at -4.696 eV per atom. For the density of states at the Fermi level, the calculation gives 17.237 states/eV/cell. Its formation enthalpy at 0 K is 30 meV per atom. Its excess energy over the best structure of this formula in the dataset is 0.0 meV/atom.

extended XYZ file:
```
10
Lattice="5.914 0.000 2.432 1.182 6.599 5.533 -0.512 1.270 9.654" Properties=species:S:1:pos:R:3 pbc="T T T"
Sm 6.480 5.490 10.875
Sm 4.641 2.825 12.527
Sm 0.105 2.379 6.744
Sm 1.944 5.044 5.091
Tb 2.375 2.602 9.636
Tb 4.210 5.267 7.982
Pr 3.752 2.116 6.265
Pr 2.833 5.753 11.353
Pr 1.494 1.818 3.347
Pr 5.091 6.051 14.271
```

=====

Q: Look up the electronic total energy of the third one.
A: -4.696 eV per atom